[1]
Na2Tl3Cd GGA-PBE optimized geometry; raw total energy = -1.75 eV/atom; DOS at the Fermi energy = 7.9 states/eV/cell; E_form = 0.023 eV per atom; distance to the lowest polymorph of the same formula = 112 meV/atom
1.0
6.587 0.000 0.000
-3.293 5.704 0.000
0.000 0.000 10.109
Na Tl Cd
4 6 2
direct
0.000 0.000 0.000 Na
0.000 0.000 0.500 Na
0.333 0.667 0.000 Na
0.667 0.333 0.000 Na
0.000 0.500 0.255 Tl
0.000 0.500 0.745 Tl
0.500 0.000 0.255 Tl
0.500 0.000 0.745 Tl
0.500 0.500 0.255 Tl
0.500 0.500 0.745 Tl
0.333 0.667 0.500 Cd
0.667 0.333 0.500 Cd

[2]
KAuI2F GGA-PBE optimized geometry; raw total energy = -2.77 eV/atom; DOS at the Fermi energy = 1.2 states/eV/cell; formation energy (no corrections) = -900 meV per atom
1.0
5.796 0.000 0.000
0.000 5.796 0.000
0.000 0.000 4.506
K Au I F
1 1 2 1
direct
0.000 0.000 0.000 K
0.500 0.500 0.500 Au
0.000 0.500 0.500 I
0.500 0.000 0.500 I
0.500 0.500 0.000 F

[3]
HfGa3O GGA-PBE optimized geometry; raw total energy = -3.76 eV/atom; DOS at the Fermi energy = 8.5 states/eV/cell; formation energy (no corrections) = 1038 meV per atom; distance to the lowest polymorph of the same formula = 1328 meV/atom
1.0
5.295 0.000 0.000
0.000 5.295 0.000
0.000 0.000 5.295
Hf Ga O
1 3 1
direct
0.000 0.000 0.000 Hf
0.000 0.000 0.500 Ga
0.000 0.500 0.000 Ga
0.500 0.000 0.000 Ga
0.500 0.500 0.500 O

[4]
PCl5 GGA-PBE optimized geometry; raw total energy = -1.90 eV/atom; DOS at the Fermi energy = 3.9 states/eV/cell; formation energy (no corrections) = 537 meV per atom
1.0
2.917 0.000 0.000
0.000 2.917 0.000
0.000 0.000 18.002
P Cl
1 5
direct
0.000 0.000 0.000 P
0.000 0.000 0.277 Cl
0.000 0.000 0.723 Cl
0.500 0.500 0.092 Cl
0.500 0.500 0.500 Cl
0.500 0.500 0.908 Cl

- Number 3 is which compound?
  HfGa3O